Entry 1:
Below is an optimized crystal structure of Cs2PaO2F4, with properties calculated at the PBE-GGA level.

The structure in POSCAR format:
```
Cs2PaO2F4
1.0
5.7122 -3.3899 0.0000
5.7122 3.3899 0.0000
-0.1105 0.0000 5.1307
Cs Pa O F
2 1 2 4
Direct
0.1653 0.1653 0.3081 Cs
0.8347 0.8347 0.6919 Cs
0.5000 0.5000 0.0000 Pa
0.3601 0.3601 0.7807 O
0.6399 0.6399 0.2193 O
0.1760 0.6593 0.2242 F
0.3407 0.8240 0.7758 F
0.6593 0.1760 0.2242 F
0.8240 0.3407 0.7758 F
```

total moment	0.111	μB per atom
volume	199	Å³/cell
energy relative to the elements, uncorrected	-3.019	eV per atom



Entry 2:
Below is an optimized crystal structure of Cs2PbOF, with properties calculated at the PBE-GGA level.

The structure in POSCAR format:
```
Cs2PbOF
1.0
6.9806 0.0000 0.0000
0.0000 6.9806 0.0000
0.0000 0.0000 4.5239
Cs Pb O F
2 1 1 1
Direct
0.0000 0.5000 0.0000 Cs
0.5000 0.0000 0.0000 Cs
0.0000 0.0000 0.0000 Pb
0.0000 0.0000 0.5000 O
0.5000 0.5000 0.5000 F
```

total moment	0.000	μB per atom
volume	220	Å³/cell
energy relative to the elements, uncorrected	-0.891	eV per atom